Here is Cu4AuSe after structural relaxation from Alexandria. Energies are from PBE.

POSCAR file:
```
Cu4AuSe
1.0
0.000 3.515 3.515
3.515 0.000 3.515
3.515 3.515 0.000
Cu Au Se
4 1 1
Cartesian
0.878 0.878 0.878 Cu
2.638 2.638 0.878 Cu
2.638 0.878 2.638 Cu
0.878 2.638 2.638 Cu
5.273 5.273 5.273 Au
3.515 3.515 3.515 Se
```

Summary:
- spin magnetization (μB per atom) = 0.000
- formation energy (no corrections) (eV per atom) = 0.171
- SG = F-43m
- final energy (eV per atom) = -3.69

Here is La3CoSn after structural relaxation from Alexandria. Energies are from PBE.

POSCAR file:
```
La3CoSn
1.0
8.367 0.000 0.000
-4.184 7.246 0.000
0.000 0.000 12.196
La Co Sn
9 3 3
Cartesian
6.273 3.622 0.000 La
0.000 2.418 4.065 La
-2.089 6.037 4.065 La
2.089 1.206 8.131 La
4.184 0.003 0.000 La
2.094 3.622 0.000 La
2.089 6.037 4.065 La
6.278 1.206 8.131 La
4.184 4.834 8.131 La
0.000 0.000 3.394 Co
0.000 4.831 11.525 Co
4.184 2.415 7.459 Co
0.000 0.000 6.073 Sn
0.000 4.831 2.007 Sn
4.184 2.415 10.138 Sn
```

Summary:
- spin magnetization (μB per atom) = 0.000
- SG = R3m
- excess energy over the best structure of this formula in the dataset (meV/atom) = 778
- final energy (eV per atom) = -4.85
- calculated formation energy (eV per atom) = 0.330

Here is LiPaBi after structural relaxation from Alexandria. Energies are from PBE.

POSCAR file:
```
LiPaBi
1.0
3.473 0.000 0.000
0.000 3.473 0.000
0.000 0.000 11.942
Li Pa Bi
2 2 2
Cartesian
0.000 0.000 0.000 Li
1.736 1.736 5.971 Li
0.000 0.000 8.138 Pa
1.736 1.736 2.167 Pa
0.000 0.000 4.490 Bi
1.736 1.736 10.461 Bi
```

Summary:
- spin magnetization (μB per atom) = 0.417
- SG = I4mm
- excess energy over the best structure of this formula in the dataset (meV/atom) = 161
- final energy (eV per atom) = -4.97
- calculated formation energy (eV per atom) = 0.126

Here is NdDy2Ir9 after structural relaxation from Alexandria. Energies are from PBE.

POSCAR file:
```
NdDy2Ir9
1.0
2.670 1.541 8.763
-2.670 1.541 8.763
0.000 -3.083 8.763
Nd Dy Ir
1 2 9
Cartesian
0.000 0.000 0.000 Nd
0.000 0.000 3.668 Dy
0.000 0.000 22.621 Dy
-1.333 -0.769 10.930 Ir
0.000 0.000 8.751 Ir
0.000 -1.539 15.359 Ir
-1.333 0.769 15.359 Ir
0.000 0.000 13.145 Ir
1.333 -0.769 10.930 Ir
0.000 1.539 10.930 Ir
0.000 0.000 17.539 Ir
1.333 0.769 15.359 Ir
```

Summary:
- spin magnetization (μB per atom) = 0.000
- SG = R-3m
- final energy (eV per atom) = -8.39
- calculated formation energy (eV per atom) = -0.575

Here is AcPmSiAu after structural relaxation from Alexandria. Energies are from PBE.

POSCAR file:
```
AcPmSiAu
1.0
7.571 0.000 0.000
0.000 7.571 0.000
0.000 0.000 7.571
Ac Pm Si Au
4 4 4 4
Cartesian
0.000 0.000 0.000 Ac
0.000 3.786 3.786 Ac
3.786 0.000 3.786 Ac
3.786 3.786 0.000 Ac
0.000 0.000 3.786 Pm
0.000 3.786 0.000 Pm
3.786 0.000 0.000 Pm
3.786 3.786 3.786 Pm
1.893 1.893 1.893 Si
1.893 5.678 5.678 Si
5.678 1.893 5.678 Si
5.678 5.678 1.893 Si
1.893 1.893 5.678 Au
1.893 5.678 1.893 Au
5.678 1.893 1.893 Au
5.678 5.678 5.678 Au
```

Summary:
- spin magnetization (μB per atom) = 0.191
- formation energy (no corrections) (eV per atom) = -0.564
- SG = F-43m
- final energy (eV per atom) = -4.95

Here is V2SiPdPb after structural relaxation from Alexandria. Energies are from PBE.

POSCAR file:
```
V2SiPdPb
1.0
4.518 0.000 0.000
0.000 4.518 0.000
0.000 0.000 4.525
V Si Pd Pb
2 1 1 1
Cartesian
0.000 2.259 0.000 V
2.259 0.000 0.000 V
0.000 0.000 0.000 Si
0.000 0.000 2.263 Pd
2.259 2.259 2.263 Pb
```

Summary:
- spin magnetization (μB per atom) = 0.000
- formation energy (no corrections) (eV per atom) = 0.411
- SG = P4/mmm
- final energy (eV per atom) = -6.10

Here is SrCl after structural relaxation from Alexandria. Energies are from PBE.

POSCAR file:
```
SrCl
1.0
8.400 0.000 0.000
0.000 8.400 0.000
0.000 0.000 4.702
Sr Cl
4 4
Cartesian
1.736 1.736 0.000 Sr
2.464 5.936 2.351 Sr
5.936 2.464 2.351 Sr
6.664 6.664 0.000 Sr
1.190 7.210 0.000 Cl
3.010 3.010 2.351 Cl
5.390 5.390 2.351 Cl
7.210 1.190 0.000 Cl
```

Summary:
- spin magnetization (μB per atom) = 0.238
- formation energy (no corrections) (eV per atom) = -1.539
- SG = P4_2/mnm
- final energy (eV per atom) = -3.30

Here is ZnGa2Br6 after structural relaxation from Alexandria. Energies are from PBE.

POSCAR file:
```
ZnGa2Br6
1.0
6.294 -5.578 0.000
6.294 5.578 0.000
-2.907 0.000 9.030
Zn Ga Br
2 4 12
Cartesian
4.114 4.808 6.772 Zn
5.567 -4.808 2.257 Zn
1.698 0.737 6.795 Ga
3.151 -0.737 2.280 Ga
6.530 0.737 6.750 Ga
7.983 -0.737 2.235 Ga
4.071 4.503 3.178 Br
2.176 3.313 6.419 Br
7.063 4.503 1.336 Br
4.370 0.374 0.332 Br
6.051 3.313 7.126 Br
2.917 -0.374 4.847 Br
6.764 0.374 4.183 Br
3.629 -3.313 1.904 Br
5.311 -0.374 8.698 Br
2.618 -4.503 7.693 Br
7.505 -3.313 2.611 Br
5.610 -4.503 5.851 Br
```

Summary:
- spin magnetization (μB per atom) = 0.000
- formation energy (no corrections) (eV per atom) = -0.620
- SG = C2/c
- excess energy over the best structure of this formula in the dataset (meV/atom) = 169
- final energy (eV per atom) = -2.55

Here is ErZrAlRu after structural relaxation from Alexandria. Energies are from PBE.

POSCAR file:
```
ErZrAlRu
1.0
6.804 0.000 0.000
0.000 6.804 0.000
0.000 0.000 6.804
Er Zr Al Ru
4 4 4 4
Cartesian
0.000 0.000 0.000 Er
0.000 3.402 3.402 Er
3.402 0.000 3.402 Er
3.402 3.402 0.000 Er
0.000 0.000 3.402 Zr
0.000 3.402 0.000 Zr
3.402 0.000 0.000 Zr
3.402 3.402 3.402 Zr
1.701 1.701 1.701 Al
1.701 5.103 5.103 Al
5.103 1.701 5.103 Al
5.103 5.103 1.701 Al
1.701 1.701 5.103 Ru
1.701 5.103 1.701 Ru
5.103 1.701 1.701 Ru
5.103 5.103 5.103 Ru
```

Summary:
- spin magnetization (μB per atom) = 0.000
- SG = F-43m
- final energy (eV per atom) = -6.91
- calculated formation energy (eV per atom) = -0.375

Here is TbGdMnHg after structural relaxation from Alexandria. Energies are from PBE.

POSCAR file:
```
TbGdMnHg
1.0
7.352 0.000 0.000
0.000 7.352 0.000
0.000 0.000 7.352
Tb Gd Mn Hg
4 4 4 4
Cartesian
0.000 0.000 0.000 Tb
0.000 3.676 3.676 Tb
3.676 0.000 3.676 Tb
3.676 3.676 0.000 Tb
0.000 0.000 3.676 Gd
0.000 3.676 0.000 Gd
3.676 0.000 0.000 Gd
3.676 3.676 3.676 Gd
1.838 1.838 5.514 Mn
1.838 5.514 1.838 Mn
5.514 1.838 1.838 Mn
5.514 5.514 5.514 Mn
1.838 1.838 1.838 Hg
1.838 5.514 5.514 Hg
5.514 1.838 5.514 Hg
5.514 5.514 1.838 Hg
```

Summary:
- spin magnetization (μB per atom) = 2.645
- SG = F-43m
- final energy (eV per atom) = -7.10
- calculated formation energy (eV per atom) = -0.056

Here is Sr3TiAs after structural relaxation from Alexandria. Energies are from PBE.

POSCAR file:
```
Sr3TiAs
1.0
5.982 0.000 0.000
0.000 5.982 0.000
0.000 0.000 5.982
Sr Ti As
3 1 1
Cartesian
0.000 0.000 2.991 Sr
0.000 2.991 0.000 Sr
2.991 0.000 0.000 Sr
2.991 2.991 2.991 Ti
0.000 0.000 0.000 As
```

Summary:
- spin magnetization (μB per atom) = 0.116
- SG = Pm-3m
- excess energy over the best structure of this formula in the dataset (meV/atom) = 0
- final energy (eV per atom) = -3.32
- calculated formation energy (eV per atom) = 0.193

Here is InNiPt2 after structural relaxation from Alexandria. Energies are from PBE.

POSCAR file:
```
InNiPt2
1.0
2.905 0.000 0.000
-1.453 2.516 0.000
0.000 0.000 26.064
In Ni Pt
3 3 6
Cartesian
0.000 0.000 0.000 In
0.000 1.677 17.376 In
1.453 0.839 8.688 In
0.000 0.000 19.441 Ni
0.000 1.677 10.753 Ni
1.453 0.839 2.065 Ni
0.000 0.000 6.419 Pt
0.000 0.000 12.778 Pt
0.000 1.677 4.090 Pt
0.000 1.677 23.795 Pt
1.453 0.839 15.107 Pt
1.453 0.839 21.466 Pt
```

Summary:
- spin magnetization (μB per atom) = 0.115
- SG = R3m
- final energy (eV per atom) = -5.14
- calculated formation energy (eV per atom) = 0.007

Here is Hf2NiOs2 after structural relaxation from Alexandria. Energies are from PBE.

POSCAR file:
```
Hf2NiOs2
1.0
6.466 0.000 0.000
0.000 6.466 0.000
0.000 0.000 4.127
Hf Ni Os
4 2 4
Cartesian
1.153 2.080 0.000 Hf
2.080 5.313 0.000 Hf
4.386 1.153 0.000 Hf
5.313 4.386 0.000 Hf
0.000 0.000 2.063 Ni
3.233 3.233 2.063 Ni
0.877 4.110 2.063 Os
2.356 0.877 2.063 Os
4.110 5.590 2.063 Os
5.590 2.356 2.063 Os
```

Summary:
- spin magnetization (μB per atom) = 0.000
- SG = P4/mbm
- final energy (eV per atom) = -9.85
- calculated formation energy (eV per atom) = -0.216

Here is Cs2TcBr5 after structural relaxation from Alexandria. Energies are from PBE.

POSCAR file:
```
Cs2TcBr5
1.0
7.951 0.000 0.000
0.000 7.951 0.000
0.000 0.000 10.630
Cs Tc Br
4 2 10
Cartesian
0.000 3.976 0.000 Cs
0.000 3.976 5.315 Cs
3.976 0.000 0.000 Cs
3.976 0.000 5.315 Cs
0.000 0.000 2.365 Tc
3.976 3.976 7.680 Tc
0.000 0.000 10.359 Br
1.785 1.785 2.706 Br
1.785 6.167 2.706 Br
2.191 2.191 8.021 Br
2.191 5.760 8.021 Br
3.976 3.976 5.044 Br
5.760 2.191 8.021 Br
5.760 5.760 8.021 Br
6.167 1.785 2.706 Br
6.167 6.167 2.706 Br
```

Summary:
- spin magnetization (μB per atom) = 0.500
- formation energy (no corrections) (eV per atom) = -1.049
- SG = I4mm
- final energy (eV per atom) = -3.60

Here is LaHg6Pb2 after structural relaxation from Alexandria. Energies are from PBE.

POSCAR file:
```
LaHg6Pb2
1.0
3.311 -8.096 0.000
3.311 8.096 0.000
-1.850 0.000 4.632
La Hg Pb
1 6 2
Cartesian
0.000 0.000 0.000 La
1.922 2.658 0.790 Hg
1.126 0.000 3.145 Hg
2.849 2.658 3.842 Hg
1.922 -2.658 0.790 Hg
3.646 0.000 1.487 Hg
2.849 -2.658 3.842 Hg
2.386 5.490 2.316 Pb
2.386 -5.490 2.316 Pb
```

Summary:
- spin magnetization (μB per atom) = 0.000
- SG = C2/m
- final energy (eV per atom) = -1.73
- calculated formation energy (eV per atom) = -0.158

Here is La2Pm3Sm6Mg after structural relaxation from Alexandria. Energies are from PBE.

POSCAR file:
```
La2Pm3Sm6Mg
1.0
3.136 -5.436 0.000
3.136 5.436 0.000
-2.120 0.000 11.836
La Pm Sm Mg
2 3 6 1
Cartesian
3.136 3.616 0.000 La
3.136 -3.616 0.000 La
-1.060 0.000 5.918 Pm
2.076 1.810 5.918 Pm
2.076 -1.810 5.918 Pm
-0.006 1.793 8.874 Sm
1.051 0.000 2.978 Sm
-0.006 -1.793 8.874 Sm
4.157 1.793 2.962 Sm
3.100 0.000 8.858 Sm
4.157 -1.793 2.962 Sm
3.136 0.000 0.000 Mg
```

Summary:
- spin magnetization (μB per atom) = 0.000
- SG = C2/m
- final energy (eV per atom) = -4.49
- calculated formation energy (eV per atom) = 0.015

Here is Er3Al3Os2 after structural relaxation from Alexandria. Energies are from PBE.

POSCAR file:
```
Er3Al3Os2
1.0
7.597 0.000 0.000
0.000 15.287 0.000
0.000 0.000 5.711
Er Al Os
12 12 8
Cartesian
0.266 1.657 0.590 Er
0.266 5.987 0.590 Er
1.300 3.822 3.623 Er
2.498 11.466 0.768 Er
3.532 9.301 3.445 Er
3.532 13.630 3.445 Er
4.065 1.657 2.266 Er
4.065 5.987 2.266 Er
5.098 3.822 4.944 Er
6.297 11.466 2.088 Er
7.330 9.301 5.122 Er
7.330 13.630 5.122 Er
1.236 0.519 3.396 Al
1.236 7.125 3.396 Al
1.305 11.466 3.541 Al
2.494 3.822 0.686 Al
2.562 8.163 0.541 Al
2.562 14.768 0.541 Al
5.035 0.519 5.171 Al
5.035 7.125 5.171 Al
5.103 11.466 5.025 Al
6.292 3.822 2.170 Al
6.360 8.163 2.315 Al
6.360 14.768 2.315 Al
1.009 9.304 2.132 Os
1.009 13.627 2.132 Os
2.790 1.661 4.988 Os
2.790 5.983 4.988 Os
4.807 9.304 0.723 Os
4.807 13.627 0.723 Os
6.588 1.661 3.579 Os
6.588 5.983 3.579 Os
```

Summary:
- spin magnetization (μB per atom) = 0.000
- SG = Pnma
- final energy (eV per atom) = -6.40
- calculated formation energy (eV per atom) = -0.474

Here is ReHg2Se2 after structural relaxation from Alexandria. Energies are from PBE.

POSCAR file:
```
ReHg2Se2
1.0
3.566 0.000 0.000
0.000 3.566 0.000
0.000 0.000 19.042
Re Hg Se
2 4 4
Cartesian
0.000 0.000 0.000 Re
1.783 1.783 9.521 Re
0.000 0.000 8.002 Hg
0.000 0.000 11.040 Hg
1.783 1.783 1.519 Hg
1.783 1.783 17.523 Hg
0.000 1.783 4.760 Se
0.000 1.783 14.281 Se
1.783 0.000 4.760 Se
1.783 0.000 14.281 Se
```

Summary:
- spin magnetization (μB per atom) = 0.338
- formation energy (no corrections) (eV per atom) = 0.973
- SG = I4/mmm
- excess energy over the best structure of this formula in the dataset (meV/atom) = 0
- final energy (eV per atom) = -3.03

Here is Pr2Zn3Pd5 after structural relaxation from Alexandria. Energies are from PBE.

POSCAR file:
```
Pr2Zn3Pd5
1.0
2.146 -12.544 0.000
2.146 12.544 0.000
0.000 0.000 6.928
Pr Zn Pd
4 6 10
Cartesian
2.146 11.878 3.464 Pr
2.146 4.411 3.051 Pr
2.146 -4.411 6.515 Pr
2.146 -11.878 0.000 Pr
2.146 9.275 1.945 Zn
2.146 5.419 6.125 Zn
2.146 1.146 2.130 Zn
2.146 -1.146 5.594 Zn
2.146 -5.419 2.661 Zn
2.146 -9.275 5.409 Zn
2.146 10.150 6.231 Pd
2.146 7.645 4.215 Pd
2.146 6.787 1.326 Pd
2.146 2.996 0.250 Pd
2.146 1.471 4.743 Pd
2.146 -1.471 1.279 Pd
2.146 -2.996 3.714 Pd
2.146 -6.787 4.790 Pd
2.146 -7.645 0.752 Pd
2.146 -10.150 2.768 Pd
```

Summary:
- spin magnetization (μB per atom) = 0.000
- SG = Cmc2_1
- excess energy over the best structure of this formula in the dataset (meV/atom) = 20
- final energy (eV per atom) = -4.56
- calculated formation energy (eV per atom) = -0.623

Here is Pr8Sb2Pt after structural relaxation from Alexandria. Energies are from PBE.

POSCAR file:
```
Pr8Sb2Pt
1.0
9.637 -2.351 0.000
9.637 2.351 0.000
-1.181 0.000 7.919
Pr Sb Pt
8 2 1
Cartesian
-0.207 0.000 2.228 Pr
3.102 0.000 6.747 Pr
6.110 0.000 3.780 Pr
6.641 0.000 7.838 Pr
11.451 0.000 0.082 Pr
11.982 0.000 4.139 Pr
14.990 0.000 1.172 Pr
18.299 0.000 5.691 Pr
3.216 0.000 2.054 Sb
14.876 0.000 5.865 Sb
9.046 0.000 3.960 Pt
```

Summary:
- spin magnetization (μB per atom) = 0.000
- formation energy (no corrections) (eV per atom) = -0.587
- SG = C2/m
- final energy (eV per atom) = -5.36

Here is Ba2ThRe3O12 after structural relaxation from Alexandria. Energies are from PBE.

POSCAR file:
```
Ba2ThRe3O12
1.0
3.719 2.147 5.727
-3.719 2.147 5.727
0.000 -4.294 5.727
Ba Th Re O
2 1 3 12
Cartesian
0.000 0.000 2.166 Ba
0.000 0.000 15.016 Ba
0.000 0.000 8.591 Th
-1.860 -1.074 5.727 Re
-1.860 1.074 11.455 Re
0.000 2.147 5.727 Re
-1.903 -1.098 7.683 O
0.000 -1.605 5.806 O
-1.390 0.802 5.806 O
0.000 -2.197 9.499 O
-1.903 1.098 9.499 O
-1.390 -0.802 11.376 O
1.390 0.802 5.806 O
1.903 -1.098 7.683 O
0.000 2.197 7.683 O
1.390 -0.802 11.376 O
0.000 1.605 11.376 O
1.903 1.098 9.499 O
```

Summary:
- spin magnetization (μB per atom) = 0.098
- formation energy (no corrections) (eV per atom) = -2.170
- SG = R-3m
- final energy (eV per atom) = -8.18

Here is Be2TlBr after structural relaxation from Alexandria. Energies are from PBE.

POSCAR file:
```
Be2TlBr
1.0
5.890 0.000 0.000
0.000 5.890 0.000
0.000 0.000 9.964
Be Tl Br
8 4 4
Cartesian
1.400 1.473 1.245 Be
1.473 4.346 3.736 Be
1.473 4.490 8.718 Be
1.545 1.473 6.227 Be
4.346 4.418 6.227 Be
4.418 1.400 8.718 Be
4.418 1.545 3.736 Be
4.490 4.418 1.245 Be
0.000 0.000 4.982 Tl
0.000 2.945 7.473 Tl
2.945 0.000 2.491 Tl
2.945 2.945 0.000 Tl
0.000 0.000 0.000 Br
0.000 2.945 2.491 Br
2.945 0.000 7.473 Br
2.945 2.945 4.982 Br
```

Summary:
- spin magnetization (μB per atom) = 0.000
- formation energy (no corrections) (eV per atom) = 0.556
- SG = I-42d
- excess energy over the best structure of this formula in the dataset (meV/atom) = 226
- final energy (eV per atom) = -2.32

Here is CuHPtRh2 after structural relaxation from Alexandria. Energies are from PBE.

POSCAR file:
```
CuHPtRh2
1.0
3.893 0.000 0.000
0.000 3.893 0.000
0.000 0.000 3.935
Cu H Pt Rh
1 1 1 2
Cartesian
0.000 0.000 0.000 Cu
1.947 1.947 1.968 H
1.947 1.947 0.000 Pt
0.000 1.947 1.968 Rh
1.947 0.000 1.968 Rh
```

Summary:
- spin magnetization (μB per atom) = 0.000
- SG = P4/mmm
- excess energy over the best structure of this formula in the dataset (meV/atom) = 33
- final energy (eV per atom) = -5.61